(1)
CaPa2Rh3, optimized geometry, DFT PBE; magnetic moment = 0.00 μB/cell; energy of formation = -4.18 eV/f.u.; VASP energy = -7.871 eV per atom
1.0
0.207 -3.252 -3.149
0.214 -4.265 7.678
-6.778 5.049 -2.399
Pa Ca Rh
4 2 6
direct
0.750 0.258 0.742
0.250 0.061 0.939
0.750 0.939 0.061
0.250 0.742 0.258
0.250 0.428 0.572
0.750 0.572 0.428
0.534 0.899 0.669
0.966 0.331 0.101
0.000 0.000 0.500
0.466 0.101 0.331
0.034 0.669 0.899
0.500 0.500 0.000

=====

(2)
CaPaSi2Rh5, optimized geometry, DFT PBE; magnetic moment = 0.00 μB/cell; VASP energy = -7.202 eV per atom; formation energy from raw total energies = -634.9 meV per atom
1.0
4.678 0.000 0.000
0.000 4.678 0.000
0.000 0.000 7.189
Rh Pa Si Ca
5 1 2 1
direct
0.000 0.500 0.784
0.500 0.500 0.500
0.000 0.500 0.216
0.500 0.000 0.216
0.500 0.000 0.784
0.000 0.000 0.000
0.500 0.500 0.830
0.500 0.500 0.170
0.000 0.000 0.500

=====

(3)
CaPaZnRh, optimized geometry, DFT PBE; magnetic moment = 0.23 μB/cell; energy of formation = -0.78 eV/f.u.; VASP energy = -5.225 eV per atom
1.0
-1.466 -3.317 -3.360
1.271 -4.752 0.499
-3.426 -3.364 1.179
Rh Zn Ca Pa
1 1 1 1
direct
0.500 0.500 0.500
0.000 0.000 0.000
0.750 0.750 0.750
0.250 0.250 0.250

=====

(4)
CaPaRu, optimized geometry, DFT PBE; magnetic moment = 0.70 μB/cell; energy of formation = -0.36 eV/f.u.; VASP energy = -7.043 eV per atom
1.0
-0.182 -3.437 0.292
3.135 -0.043 1.450
-4.115 2.366 4.854
Pa Ca Ru
1 1 1
direct
0.290 0.290 0.579
0.020 0.020 0.040
0.690 0.690 0.381

=====

(5)
CaPaRu4, optimized geometry, DFT PBE; magnetic moment = 0.00 μB/cell; energy of formation = -0.76 eV/f.u.; VASP energy = -8.227 eV per atom
1.0
-0.346 4.552 2.748
0.479 -0.048 5.307
4.342 2.059 2.302
Ru Pa Ca
4 1 1
direct
0.625 0.125 0.625
0.625 0.625 0.125
0.125 0.625 0.625
0.625 0.625 0.625
0.250 0.250 0.250
0.000 0.000 0.000

=====

(6)
Ca5PaS8, optimized geometry, DFT PBE; magnetic moment = 0.68 μB/cell; VASP energy = -5.556 eV per atom; formation energy from raw total energies = -1804.7 meV per atom
1.0
-5.204 3.669 3.642
-2.269 -1.273 -6.859
1.322 -6.391 3.350
S Ca Pa
8 5 1
direct
0.612 0.877 0.874
0.603 0.391 0.869
0.131 0.734 0.521
0.479 0.609 0.212
0.997 0.123 0.735
0.265 0.262 0.388
0.126 0.738 0.003
0.788 0.266 0.397
0.990 0.371 0.119
0.500 0.000 0.500
0.881 0.871 0.252
0.382 0.129 0.010
0.748 0.629 0.618
0.250 0.500 0.750

=====

- The lowest VASP energy belongs to which entry?
  CaPaRu4